1.
Ga3PBr at its PBEsol-relaxed geometry. Source: the Alexandria database, functional meta-GGA SCAN.

Output
* energy relative to the elements, uncorrected: 1.18 eV per formula unit
* DOS at the Fermi energy: 3.0 states/eV per cell

Structure (CIF):
```
data_Ga3PBr
_symmetry_space_group_name_H-M 'P m -3 m'
_symmetry_Int_Tables_number 221
_symmetry_space_group_name_Hall '-P 4 2 3'
_cell_length_a 4.958
_cell_length_b 4.958
_cell_length_c 4.958
_cell_angle_alpha 90.00
_cell_angle_beta 90.00
_cell_angle_gamma 90.00
loop_
_atom_site_label
_atom_site_type_symbol
_atom_site_fract_x
_atom_site_fract_y
_atom_site_fract_z
Ga1 Ga 0.000 0.000 0.500
P1 P 0.000 0.000 0.000
Br1 Br 0.500 0.500 0.500
```

2.
Ga2Pb2Br at its PBEsol-relaxed geometry. Source: the Alexandria database, functional meta-GGA SCAN.

Output
* energy relative to the elements, uncorrected: -0.80 eV per formula unit
* DOS at the Fermi energy: 2.5 states/eV per cell

Structure (CIF):
```
data_Ga2Pb2Br
_symmetry_space_group_name_H-M 'I 4/m m m'
_symmetry_Int_Tables_number 139
_symmetry_space_group_name_Hall '-I 4 2'
_cell_length_a 3.724
_cell_length_b 3.724
_cell_length_c 18.409
_cell_angle_alpha 90.00
_cell_angle_beta 90.00
_cell_angle_gamma 90.00
loop_
_atom_site_label
_atom_site_type_symbol
_atom_site_fract_x
_atom_site_fract_y
_atom_site_fract_z
Ga1 Ga 0.000 0.500 0.250
Pb1 Pb 0.000 0.000 0.115
Br1 Br 0.000 0.000 0.500
```

Which of these has the lowest energy relative to the elements, uncorrected?
Ga2Pb2Br

Copy entry 2 word for word.
Ga2Pb2Br at its PBEsol-relaxed geometry. Source: the Alexandria database, functional meta-GGA SCAN.

Output
* energy relative to the elements, uncorrected: -0.80 eV per formula unit
* DOS at the Fermi energy: 2.5 states/eV per cell

Structure (CIF):
```
data_Ga2Pb2Br
_symmetry_space_group_name_H-M 'I 4/m m m'
_symmetry_Int_Tables_number 139
_symmetry_space_group_name_Hall '-I 4 2'
_cell_length_a 3.724
_cell_length_b 3.724
_cell_length_c 18.409
_cell_angle_alpha 90.00
_cell_angle_beta 90.00
_cell_angle_gamma 90.00
loop_
_atom_site_label
_atom_site_type_symbol
_atom_site_fract_x
_atom_site_fract_y
_atom_site_fract_z
Ga1 Ga 0.000 0.500 0.250
Pb1 Pb 0.000 0.000 0.115
Br1 Br 0.000 0.000 0.500
```

Copy entry 2 word for word.
Ga2Pb2Br at its PBEsol-relaxed geometry. Source: the Alexandria database, functional meta-GGA SCAN.

Output
* energy relative to the elements, uncorrected: -0.80 eV per formula unit
* DOS at the Fermi energy: 2.5 states/eV per cell

Structure (CIF):
```
data_Ga2Pb2Br
_symmetry_space_group_name_H-M 'I 4/m m m'
_symmetry_Int_Tables_number 139
_symmetry_space_group_name_Hall '-I 4 2'
_cell_length_a 3.724
_cell_length_b 3.724
_cell_length_c 18.409
_cell_angle_alpha 90.00
_cell_angle_beta 90.00
_cell_angle_gamma 90.00
loop_
_atom_site_label
_atom_site_type_symbol
_atom_site_fract_x
_atom_site_fract_y
_atom_site_fract_z
Ga1 Ga 0.000 0.500 0.250
Pb1 Pb 0.000 0.000 0.115
Br1 Br 0.000 0.000 0.500
```